Entry a
A relaxed structure of Gd3Os. Source: Alexandria, functional GGA-PBE.

Structure (CIF):
```
data_Gd3Os
_cell_length_a 4.406
_cell_length_b 4.528
_cell_length_c 5.259
_cell_angle_alpha 90.00
_cell_angle_beta 90.00
_cell_angle_gamma 90.00
_symmetry_space_group_name_H-M 'P m m 2'
_symmetry_Int_Tables_number 25
_symmetry_space_group_name_Hall 'P 2 -2'
loop_
_atom_site_label
_atom_site_type_symbol
_atom_site_fract_x
_atom_site_fract_y
_atom_site_fract_z
_atom_site_occupancy
Gd1 Gd 0.000 0.000 0.000 1
Gd2 Gd 0.000 0.500 0.480 1
Gd3 Gd 0.500 0.000 0.473 1
Os1 Os 0.500 0.500 0.106 1
```

Crystal system   orthorhombic

Entry b
A relaxed structure of Gd3Os. Source: Alexandria, functional GGA-PBE.

Structure (CIF):
```
data_Gd3Os
_cell_length_a 3.605
_cell_length_b 11.100
_cell_length_c 5.274
_cell_angle_alpha 90.00
_cell_angle_beta 90.00
_cell_angle_gamma 90.00
_symmetry_space_group_name_H-M 'I m m 2'
_symmetry_Int_Tables_number 44
_symmetry_space_group_name_Hall 'I 2 -2'
loop_
_atom_site_label
_atom_site_type_symbol
_atom_site_fract_x
_atom_site_fract_y
_atom_site_fract_z
_atom_site_occupancy
Gd1 Gd 0.000 0.000 0.000 1
Gd2 Gd 0.000 0.197 0.500 1
Os1 Os 0.000 0.500 0.998 1
```

Crystal system   orthorhombic

Verdict on stability: entry a comes out at the bottom.